Record 1
A crystal of NaNbRu3 relaxed with PBEsol, computed with meta-GGA SCAN.

Calculated values
Electronic total energy (eV per atom): -26.342
Formation energy (kJ/mol of atoms): 195.21

abc: 4.3070 4.3070 4.3070
angles: 90.00 90.00 90.00
Last column: nearest neighbours and their distance in Å.
Fractional coordinates of all 5 atoms:
Nb 0.5000 0.5000 0.5000  12 Ru 3.05
Ru 0.0000 0.0000 0.5000  2 Na 2.15
Ru 0.5000 0.0000 0.0000  2 Na 2.15
Ru 0.0000 0.5000 0.0000  2 Na 2.15
Na 0.0000 0.0000 0.0000  6 Ru 2.15

=====

Record 2
A crystal of NaNb6S8 relaxed with PBEsol, computed with meta-GGA SCAN.

Calculated values
Electronic total energy (eV per atom): -19.914
Energy relative to the elements, uncorrected (kJ/mol of formula units): -1804

abc: 3.3842 9.5104 9.5104
angles: 120.00 90.00 90.00
Last column: nearest neighbours and their distance in Å.
Fractional coordinates of all 15 atoms:
S 0.2488 0.6596 0.7156  4 Nb 2.46-2.62
S 0.2488 0.2844 0.9440  4 Nb 2.46-2.62
S 0.2488 0.0560 0.3404  4 Nb 2.46-2.62
S 0.7512 0.3404 0.2844  4 Nb 2.46-2.62
S 0.7512 0.7156 0.0560  4 Nb 2.46-2.62
S 0.7504 0.3333 0.6667  6 Nb 2.56-2.57
S 0.2496 0.6667 0.3333  6 Nb 2.56-2.57
S 0.7512 0.9440 0.6596  4 Nb 2.46-2.62
Nb 0.2505 0.5128 0.8865  6 S 2.46-2.62
Nb 0.7495 0.4872 0.1135  6 S 2.46-2.62
Nb 0.7495 0.8865 0.3737  6 S 2.46-2.62
Nb 0.2505 0.1135 0.6263  6 S 2.46-2.62
Nb 0.7495 0.6263 0.5128  6 S 2.46-2.62
Nb 0.2505 0.3737 0.4872  6 S 2.46-2.62
Na 0.5000 0.0000 0.0000  6 S 3.12, 2 Na 3.38

=====

Record 3
A crystal of NaNbSb2 relaxed with PBEsol, computed with meta-GGA SCAN.

Calculated values
Electronic total energy (eV per atom): -27.978
Energy relative to the elements, uncorrected (kJ/mol of formula units): -5

abc: 4.9695 4.9695 4.9695
angles: 60.00 60.00 60.00
Last column: nearest neighbours and their distance in Å.
Fractional coordinates of all 4 atoms:
Sb 0.2500 0.2500 0.2500  4 Nb 3.04, 4 Na 3.04
Sb 0.7500 0.7500 0.7500  4 Na 3.04, 4 Nb 3.04
Nb 0.5000 0.5000 0.5000  8 Sb 3.04
Na 0.0000 0.0000 0.0000  8 Sb 3.04

=====

Record 4
A crystal of NaNb3Sb relaxed with PBEsol, computed with meta-GGA SCAN.

Calculated values
Electronic total energy (eV per atom): -26.450
Energy relative to the elements, uncorrected (kJ/mol of formula units): 831

abc: 4.6468 4.6468 4.6468
angles: 90.00 90.00 90.00
Last column: nearest neighbours and their distance in Å.
Fractional coordinates of all 5 atoms:
Nb 0.0000 0.0000 0.5000  2 Na 2.32
Nb 0.0000 0.5000 0.0000  2 Na 2.32
Nb 0.5000 0.0000 0.0000  2 Na 2.32
Na 0.0000 0.0000 0.0000  6 Nb 2.32
Sb 0.5000 0.5000 0.5000  12 Nb 3.29

=====

Question: Among the records above, which one has the highest electronic total energy?
Answer: NaNb6S8

=====

Question: Which of these has the highest electronic total energy?
Answer: NaNb6S8

=====

Question: Which formula does entry 4 have?
Answer: NaNb3Sb